[1]
# Y4ErTm3

A relaxed Y4ErTm3 crystal (PBE, Alexandria).

## Properties
The value obtained for the formation energy is 0.22 eV/atom. Its energy above the most stable polymorph in this dataset is 216.9 meV per atom. As for the space group: Cmmm. Its electronic total energy is -5.26 eV per atom. For the density of states at the Fermi level, the calculation gives 11.63 states/eV per cell.

a = 13.337 Å, b = 13.337 Å, c = 3.557 Å
α = 90.00°, β = 90.00°, γ = 155.96°
Positions (direct):
Y  0.103  0.897  0.000
Y  0.222  0.778  0.000
Y  0.778  0.222  0.000
Y  0.897  0.103  0.000
Er  0.000  0.000  0.500
Tm  0.344  0.656  0.500
Tm  0.500  0.500  0.000
Tm  0.656  0.344  0.500

[2]
# Tb5TePd2

A relaxed Tb5TePd2 crystal (PBE, Alexandria).

## Properties
For the raw formation energy, the calculation gives -0.78 eV per atom. As for the space group: I4/mcm. Its electronic total energy is -5.37 eV per atom. For the density of states at the Fermi level, the calculation gives 10.94 states/eV per cell.

a = 8.758 Å, b = 8.758 Å, c = 8.758 Å
α = 126.68°, β = 126.68°, γ = 78.77°
Positions (direct):
Tb  0.000  0.000  0.000
Tb  0.013  0.513  0.809
Tb  0.204  0.013  0.500
Tb  0.296  0.796  0.809
Tb  0.487  0.296  0.500
Tb  0.500  0.500  0.000
Tb  0.513  0.704  0.500
Tb  0.704  0.204  0.191
Tb  0.796  0.987  0.500
Tb  0.987  0.487  0.191
Te  0.250  0.250  0.000
Te  0.750  0.750  0.000
Pd  0.137  0.363  0.500
Pd  0.363  0.863  0.226
Pd  0.637  0.137  0.774
Pd  0.863  0.637  0.500

[3]
# Hf2GeC

A relaxed Hf2GeC crystal (PBE, Alexandria).

## Properties
The value obtained for the formation energy is 0.44 eV/atom. As for the space group: Fm-3m. Its electronic total energy is -8.00 eV per atom. For the density of states at the Fermi level, the calculation gives 4.63 states/eV per cell.

a = 4.478 Å, b = 4.478 Å, c = 4.478 Å
α = 60.00°, β = 60.00°, γ = 60.00°
Positions (direct):
Hf  0.250  0.250  0.250
Hf  0.750  0.750  0.750
Ge  0.000  0.000  0.000
C  0.500  0.500  0.500

[4]
# Tl2SbIr

A relaxed Tl2SbIr crystal (PBE, Alexandria).

## Properties
Its energy above the most stable polymorph in this dataset is 529.4 meV per atom. For the raw formation energy, the calculation gives 0.61 eV per atom. As for the space group: Cmmm. Its electronic total energy is -3.82 eV per atom. For the density of states at the Fermi level, the calculation gives 2.88 states/eV per cell.

a = 5.493 Å, b = 5.493 Å, c = 3.279 Å
α = 90.00°, β = 90.00°, γ = 110.83°
Positions (direct):
Tl  0.000  0.500  0.000
Tl  0.500  0.000  0.000
Sb  0.000  0.000  0.500
Ir  0.500  0.500  0.500

> Among the records above, which one has the highest electronic total energy?

Tl2SbIr